Version 1
Material: AcTmNi2
Method: DFT, PBE-GGA
State: relaxed

Unit cell a=5.7474 b=5.7474 c=5.7474 alpha=46.68 beta=46.68 gamma=46.68
Positions (direct):
Ac: 0.0000 0.0000 0.0000
Tm: 0.5000 0.5000 0.5000
Ni: 0.2117 0.2117 0.2117
Ni: 0.7883 0.7883 0.7883

Values from the calculation:
DOS at the Fermi energy = 0.62 states/eV per atom

Version 2
Material: AcTmNi2
Method: DFT, PBE-GGA
State: relaxed

Unit cell a=3.5214 b=3.5214 c=6.9300 alpha=90.00 beta=90.00 gamma=90.00
Positions (direct):
Ac: 0.0000 0.0000 0.0000
Tm: 0.0000 0.0000 0.5000
Ni: 0.5000 0.5000 0.2937
Ni: 0.5000 0.5000 0.7063

Values from the calculation:
DOS at the Fermi energy = 0.90 states/eV per atom

Of them, version 2 has the lowest stability.

Version 1
Material: AcTmNi
Method: DFT, PBE-GGA
State: relaxed

Unit cell a=6.8669 b=6.8669 c=6.8669 alpha=149.94 beta=149.94 gamma=43.02
Positions (direct):
Ac: 0.0000 0.0000 0.0000
Tm: 0.2627 0.2627 0.0000
Ni: 0.6585 0.6585 0.0000

Values from the calculation:
DOS at the Fermi energy = 1.22 states/eV per atom

Version 2
Material: AcTmNi
Method: DFT, PBE-GGA
State: relaxed

Unit cell a=8.3075 b=8.3075 c=8.3075 alpha=154.11 beta=132.54 gamma=54.85
Positions (direct):
Ac: 0.1362 0.1362 0.0000
Ac: 0.8638 0.8638 0.0000
Tm: 0.3889 0.3889 0.0000
Tm: 0.6111 0.6111 0.0000
Ni: 0.3177 0.0000 0.3177
Ni: 0.6822 0.0000 0.6822

Values from the calculation:
DOS at the Fermi energy = 1.12 states/eV per atom

Of them, version 2 has the lowest stability.

Version 1
Material: AcTm2Ni
Method: DFT, PBE-GGA
State: relaxed

Unit cell a=3.4959 b=3.4959 c=8.9238 alpha=90.00 beta=90.00 gamma=90.00
Positions (direct):
Ac: 0.0000 0.0000 0.0000
Tm: 0.5000 0.5000 0.3252
Tm: 0.5000 0.5000 0.6748
Ni: 0.0000 0.0000 0.5000

Values from the calculation:
DOS at the Fermi energy = 0.99 states/eV per atom

Version 2
Material: AcTm2Ni
Method: DFT, PBE-GGA
State: relaxed

Unit cell a=10.5765 b=10.5765 c=10.5765 alpha=20.69 beta=20.69 gamma=20.69
Positions (direct):
Ac: 0.0000 0.0000 0.0000
Tm: 0.1191 0.1191 0.1191
Tm: 0.8809 0.8809 0.8809
Ni: 0.5000 0.5000 0.5000

Values from the calculation:
DOS at the Fermi energy = 1.28 states/eV per atom

Of them, version 2 has the lowest stability.